Entry 1:
LiNbFeO4 | GGA-PBEsol | optimized geometry

```
LiNbFeO4
1.0
-2.9559 3.0825 4.2944
2.9559 -3.0825 4.2944
2.9559 3.0825 -4.2944
Li Nb Fe O
2 2 2 8
direct
0.1394 0.3894 0.7500
0.3606 0.1106 0.2500
0.2500 0.7776 0.5276
0.7500 0.7224 0.9724
0.7462 0.7500 0.4962
0.7538 0.2500 0.0038
0.0092 0.5240 0.0307
0.4908 0.5215 0.5149
0.5052 0.9832 0.5247
0.5067 0.9760 0.9851
0.5415 0.5168 0.0220
0.9585 0.9805 0.9753
0.9933 0.9785 0.4693
0.9948 0.5195 0.4780
```

Computed properties:
- ΔE to the lowest computed polymorph (eV/atom) = 0.008
- formation energy (no corrections) (meV/atom) = -1958
- M_tot (μB per cell) = 7.981

Entry 2:
K2GePtRh | GGA-PBEsol | optimized geometry

```
K2GePtRh
1.0
6.0353 0.0000 0.0000
0.0000 6.0353 0.0000
0.0000 0.0000 4.5254
K Ge Pt Rh
2 1 1 1
direct
0.0000 0.5000 0.0000
0.5000 0.0000 0.0000
0.0000 0.0000 0.0000
0.0000 0.0000 0.5000
0.5000 0.5000 0.5000
```

Computed properties:
- M_tot (μB per cell) = 1.233
- DFT total energy (eV/atom) = -3.52

Entry 3:
CoHI2 | GGA-PBEsol | optimized geometry

```
CoHI2
1.0
-2.8007 2.8007 5.5324
2.8007 -2.8007 5.5324
2.8007 2.8007 -5.5324
Co H I
2 2 4
direct
0.0000 0.0000 0.0000
0.7500 0.2500 0.5000
0.2500 0.7500 0.5000
0.5000 0.5000 0.0000
0.1460 0.6250 0.0210
0.3750 0.3960 0.5210
0.6040 0.1250 0.9790
0.8750 0.8540 0.4790
```

Computed properties:
- M_tot (μB per cell) = 3.913
- DFT total energy (eV/atom) = -3.25

Entry 4:
LiMo2Pb | GGA-PBEsol | optimized geometry

```
LiMo2Pb
1.0
3.7799 0.0000 0.0000
0.0000 3.7799 0.0000
0.0000 0.0000 4.5718
Li Mo Pb
1 2 1
direct
0.0000 0.0000 0.0000
0.0000 0.5000 0.5000
0.5000 0.0000 0.5000
0.5000 0.5000 0.0000
```

Computed properties:
- M_tot (μB per cell) = 0.000
- DFT total energy (eV/atom) = -6.92

Entry 5:
TiNiP3 | GGA-PBEsol | optimized geometry

```
TiNiP3
1.0
4.5531 0.0000 0.0000
0.0000 4.5531 0.0000
0.0000 0.0000 4.5531
Ti Ni P
1 1 3
direct
0.0000 0.0000 0.0000
0.5000 0.5000 0.5000
0.0000 0.0000 0.5000
0.0000 0.5000 0.0000
0.5000 0.0000 0.0000
```

Computed properties:
- M_tot (μB per cell) = 0.195
- DFT total energy (eV/atom) = -5.67

Entry 6:
K2LiInF6 | GGA-PBEsol | optimized geometry

```
K2LiInF6
1.0
0.0000 4.1107 4.1107
4.1107 0.0000 4.1107
4.1107 4.1107 0.0000
K Li In F
2 1 1 6
direct
0.2500 0.2500 0.2500
0.7500 0.7500 0.7500
0.0000 0.0000 0.0000
0.5000 0.5000 0.5000
0.2472 0.2472 0.7528
0.2472 0.7528 0.2472
0.2472 0.7528 0.7528
0.7528 0.2472 0.2472
0.7528 0.2472 0.7528
0.7528 0.7528 0.2472
```

Computed properties:
- formation energy (no corrections) (meV/atom) = -2784
- M_tot (μB per cell) = 0.003

Entry 7:
ScAl2As | GGA-PBEsol | optimized geometry

```
ScAl2As
1.0
-1.9928 1.9928 4.3164
1.9928 -1.9928 4.3164
1.9928 1.9928 -4.3164
Sc Al As
1 2 1
direct
0.0000 0.0000 0.0000
0.2500 0.7500 0.5000
0.5000 0.5000 0.0000
0.7500 0.2500 0.5000
```

Computed properties:
- M_tot (μB per cell) = 0.000
- DFT total energy (eV/atom) = -5.45

Entry 8:
CrMo3 | GGA-PBEsol | optimized geometry

```
CrMo3
1.0
2.6658 0.0000 0.0000
0.0000 4.3102 0.0000
-0.8760 0.0000 4.9970
Cr Mo
1 3
direct
0.0000 0.0000 0.0000
0.2506 0.5000 0.7554
0.5000 0.0000 0.5000
0.7494 0.5000 0.2446
```

Computed properties:
- M_tot (μB per cell) = 0.001
- DFT total energy (eV/atom) = -11.31

Entry 9:
Mn2ZnCo | GGA-PBEsol | optimized geometry

```
Mn2ZnCo
1.0
4.2394 -1.2453 0.0000
4.2394 1.2453 0.0000
-0.8798 0.0000 4.0983
Mn Zn Co
2 1 1
direct
0.2382 0.2382 0.2354
0.7618 0.7618 0.7646
0.0000 0.0000 0.5000
0.5000 0.5000 0.0000
```

Computed properties:
- M_tot (μB per cell) = 0.375
- DFT total energy (eV/atom) = -7.05

Entry 10:
Ca2AlAs | GGA-PBEsol | optimized geometry

```
Ca2AlAs
1.0
0.0000 3.6340 3.6340
3.6340 0.0000 3.6340
3.6340 3.6340 0.0000
Ca Al As
2 1 1
direct
0.2500 0.2500 0.2500
0.7500 0.7500 0.7500
0.0000 0.0000 0.0000
0.5000 0.5000 0.5000
```

Computed properties:
- ΔE to the lowest computed polymorph (eV/atom) = 0.238
- M_tot (μB per cell) = 0.000

Entry 11:
ScCoRu2 | GGA-PBEsol | optimized geometry

```
ScCoRu2
1.0
0.0000 3.0278 3.0278
3.0278 0.0000 3.0278
3.0278 3.0278 0.0000
Sc Co Ru
1 1 2
direct
0.0000 0.0000 0.0000
0.5000 0.5000 0.5000
0.2500 0.2500 0.2500
0.7500 0.7500 0.7500
```

Computed properties:
- M_tot (μB per cell) = 3.244
- DFT total energy (eV/atom) = -8.63

Entry 12:
AlTlRh | GGA-PBEsol | optimized geometry

```
AlTlRh
1.0
-1.6420 1.6420 4.7701
1.6420 -1.6420 4.7701
1.6420 1.6420 -4.7701
Al Tl Rh
1 1 1
direct
0.0000 0.0000 0.0000
0.7047 0.7047 0.0000
0.4009 0.4009 0.0000
```

Computed properties:
- ΔE to the lowest computed polymorph (eV/atom) = 0.000
- M_tot (μB per cell) = 0.000

Entry 13:
IrRu2Cl | GGA-PBEsol | optimized geometry

```
IrRu2Cl
1.0
4.8470 -1.3817 0.0000
4.8470 1.3817 0.0000
-0.1030 0.0000 4.2456
Ir Ru Cl
1 2 1
direct
0.0000 0.0000 0.0000
0.2773 0.2773 0.7738
0.5638 0.5638 0.5212
0.7787 0.7787 0.2807
```

Computed properties:
- ΔE to the lowest computed polymorph (eV/atom) = 0.260
- formation energy (no corrections) (meV/atom) = 601
- M_tot (μB per cell) = 0.001

Entry 14:
LaCoRe | GGA-PBEsol | optimized geometry

```
LaCoRe
1.0
0.0000 3.0725 3.0725
3.0725 0.0000 3.0725
3.0725 3.0725 0.0000
La Co Re
1 1 1
direct
0.0000 0.0000 0.0000
0.2500 0.2500 0.2500
0.7500 0.7500 0.7500
```

Computed properties:
- ΔE to the lowest computed polymorph (eV/atom) = 1.442
- M_tot (μB per cell) = 1.721

Entry 15:
Li2OsF | GGA-PBEsol | optimized geometry

```
Li2OsF
1.0
-2.6320 2.6320 3.3966
2.6320 -2.6320 3.3966
2.6320 2.6320 -3.3966
Li Os F
4 2 2
direct
0.3750 0.2403 0.3653
0.7597 0.1250 0.1347
0.8750 0.0097 0.6347
0.9903 0.6250 0.8653
0.2500 0.7500 0.5000
0.5000 0.5000 0.0000
0.0000 0.0000 0.0000
0.7500 0.2500 0.5000
```

Computed properties:
- ΔE to the lowest computed polymorph (eV/atom) = 0.000
- formation energy (no corrections) (meV/atom) = -299
- M_tot (μB per cell) = 0.406

Entry 16:
IrRuC3 | GGA-PBEsol | optimized geometry

```
IrRuC3
1.0
3.8748 0.0000 0.0000
0.0000 3.8748 0.0000
0.0000 0.0000 3.8748
Ir Ru C
1 1 3
direct
0.0000 0.0000 0.0000
0.5000 0.5000 0.5000
0.0000 0.5000 0.5000
0.5000 0.0000 0.5000
0.5000 0.5000 0.0000
```

Computed properties:
- M_tot (μB per cell) = 0.000
- DFT total energy (eV/atom) = -7.31

Entry 17:
RbTcMoCl2 | GGA-PBEsol | optimized geometry

```
RbTcMoCl2
1.0
5.1184 0.0000 0.0000
0.0000 5.1184 0.0000
0.0000 0.0000 4.7008
Rb Tc Mo Cl
1 1 1 2
direct
0.0000 0.0000 0.0000
0.5000 0.5000 0.5000
0.5000 0.5000 0.0000
0.0000 0.5000 0.5000
0.5000 0.0000 0.5000
```

Computed properties:
- formation energy (no corrections) (meV/atom) = 412
- M_tot (μB per cell) = 2.384

Entry 18:
Ca3P2O8 | GGA-PBEsol | optimized geometry

```
Ca3P2O8
1.0
2.6172 1.5110 6.1937
-2.6172 1.5110 6.1937
0.0000 -3.0221 6.1937
Ca P O
3 2 8
direct
0.0000 0.0000 0.0000
0.2030 0.2030 0.2030
0.7970 0.7970 0.7970
0.4052 0.4052 0.4052
0.5948 0.5948 0.5948
0.2439 0.7282 0.7282
0.2718 0.2718 0.7561
0.2718 0.7561 0.2718
0.3228 0.3228 0.3228
0.6772 0.6772 0.6772
0.7282 0.2439 0.7282
0.7282 0.7282 0.2439
0.7561 0.2718 0.2718
```

Computed properties:
- ΔE to the lowest computed polymorph (eV/atom) = 0.000
- formation energy (no corrections) (meV/atom) = -2909
- M_tot (μB per cell) = 0.000

Entry 19:
LaMgSc2 | GGA-PBEsol | optimized geometry

```
LaMgSc2
1.0
3.3385 0.0000 0.0000
0.0000 4.6476 0.0000
0.0000 0.0000 6.7264
La Mg Sc
1 1 2
direct
0.0000 0.0000 0.0000
0.5000 0.5000 0.2681
0.0000 0.0000 0.5077
0.5000 0.5000 0.7320
```

Computed properties:
- M_tot (μB per cell) = 0.001
- DFT total energy (eV/atom) = -5.02

Entry 20:
LiEr2Tc | GGA-PBEsol | optimized geometry

```
LiEr2Tc
1.0
0.0000 3.4001 3.4001
3.4001 0.0000 3.4001
3.4001 3.4001 0.0000
Li Er Tc
1 2 1
direct
0.0000 0.0000 0.0000
0.2500 0.2500 0.2500
0.7500 0.7500 0.7500
0.5000 0.5000 0.5000
```

Computed properties:
- M_tot (μB per cell) = 0.000
- DFT total energy (eV/atom) = -5.80

Entry 21:
Ca2ScTl | GGA-PBEsol | optimized geometry

```
Ca2ScTl
1.0
0.0000 3.7961 3.7961
3.7961 0.0000 3.7961
3.7961 3.7961 0.0000
Ca Sc Tl
2 1 1
direct
0.0000 0.0000 0.0000
0.2500 0.2500 0.2500
0.7500 0.7500 0.7500
0.5000 0.5000 0.5000
```

Computed properties:
- ΔE to the lowest computed polymorph (eV/atom) = 0.022
- M_tot (μB per cell) = 0.000

Entry 22:
YCo2Au | GGA-PBEsol | optimized geometry

```
YCo2Au
1.0
4.0343 0.0000 0.0000
0.0000 4.0343 0.0000
0.0000 0.0000 3.7262
Y Co Au
1 2 1
direct
0.0000 0.0000 0.0000
0.0000 0.5000 0.5000
0.5000 0.0000 0.5000
0.5000 0.5000 0.0000
```

Computed properties:
- ΔE to the lowest computed polymorph (eV/atom) = 0.000
- M_tot (μB per cell) = 1.697

Entry 23:
CdAgSb2 | GGA-PBEsol | optimized geometry

```
CdAgSb2
1.0
3.2113 0.0000 0.0000
0.0000 3.2113 0.0000
0.0000 0.0000 8.9874
Cd Ag Sb
1 1 2
direct
0.0000 0.0000 0.0000
0.0000 0.0000 0.5000
0.5000 0.5000 0.2713
0.5000 0.5000 0.7287
```

Computed properties:
- ΔE to the lowest computed polymorph (eV/atom) = 0.000
- formation energy (no corrections) (meV/atom) = 153
- M_tot (μB per cell) = 0.000

Entry 24:
NaHg2Pd2 | GGA-PBEsol | optimized geometry

```
NaHg2Pd2
1.0
-1.9784 1.9784 6.4967
1.9784 -1.9784 6.4967
1.9784 1.9784 -6.4967
Na Hg Pd
1 2 2
direct
0.0000 0.0000 0.0000
0.3938 0.3938 0.0000
0.6062 0.6062 0.0000
0.2500 0.7500 0.5000
0.7500 0.2500 0.5000
```

Computed properties:
- ΔE to the lowest computed polymorph (eV/atom) = 0.103
- M_tot (μB per cell) = 0.000

Entry 25:
KNaW2O6 | GGA-PBEsol | optimized geometry

```
KNaW2O6
1.0
3.9050 0.0000 0.0000
0.0000 3.9050 0.0000
0.0000 0.0000 7.7921
K Na W O
1 1 2 6
direct
0.0000 0.0000 0.0000
0.0000 0.0000 0.5000
0.5000 0.5000 0.2520
0.5000 0.5000 0.7480
0.0000 0.5000 0.2544
0.0000 0.5000 0.7456
0.5000 0.0000 0.2544
0.5000 0.0000 0.7456
0.5000 0.5000 0.0000
0.5000 0.5000 0.5000
```

Computed properties:
- formation energy (no corrections) (meV/atom) = -2159
- M_tot (μB per cell) = 0.000

Entry 26:
Dy3S2Cl5 | GGA-PBEsol | optimized geometry

```
Dy3S2Cl5
1.0
6.7289 0.0000 0.0000
0.0000 21.2247 0.0000
0.0000 0.0000 6.2738
Dy S Cl
12 8 20
direct
0.0350 0.2500 0.0479
0.1218 0.0978 0.4521
0.1218 0.4022 0.4521
0.3782 0.5978 0.9521
0.3782 0.9022 0.9521
0.4650 0.7500 0.5479
0.5350 0.2500 0.4521
0.6218 0.0978 0.0479
0.6218 0.4022 0.0479
0.8782 0.5978 0.5479
0.8782 0.9022 0.5479
0.9650 0.7500 0.9521
0.1716 0.6720 0.6870
0.1716 0.8280 0.6870
0.3284 0.1720 0.1870
0.3284 0.3280 0.1870
0.6716 0.6720 0.8130
0.6716 0.8280 0.8130
0.8284 0.1720 0.3130
0.8284 0.3280 0.3130
0.0347 0.6186 0.1604
0.0347 0.8814 0.1604
0.1689 0.5185 0.6761
0.1689 0.9815 0.6761
0.1779 0.2500 0.6485
0.3221 0.7500 0.1485
0.3311 0.0185 0.1761
0.3311 0.4815 0.1761
0.4653 0.1186 0.6604
0.4653 0.3814 0.6604
0.5347 0.6186 0.3396
0.5347 0.8814 0.3396
0.6689 0.5185 0.8239
0.6689 0.9815 0.8239
0.6779 0.2500 0.8515
0.8221 0.7500 0.3515
0.8311 0.0185 0.3239
0.8311 0.4815 0.3239
0.9653 0.1186 0.8396
0.9653 0.3814 0.8396
```

Computed properties:
- formation energy (no corrections) (meV/atom) = -2224
- M_tot (μB per cell) = 0.000